DFT (PBE-GGA) results for a relaxed Tb3NdHoTm crystal.

Cell and atoms, written as CIF:
```
data_Tb3NdHoTm
_chemical_formula_sum 'Tb12 Nd4 Ho4 Tm4'
_space_group_name_H-M_alt 'C m c m'
_space_group_IT_number 63
_space_group_name_Hall '-C 2c 2'
_cell_length_a 5.029
_cell_length_b 15.110
_cell_length_c 10.094
_cell_angle_alpha 90.00
_cell_angle_beta 90.00
_cell_angle_gamma 90.00
loop_
_atom_site_label
_atom_site_type_symbol
_atom_site_fract_x
_atom_site_fract_y
_atom_site_fract_z
_atom_site_occupancy
Tb1 Tb 0.000 0.167 0.000 1
Tb2 Tb 0.000 0.332 0.250 1
Nd1 Nd 0.000 0.000 0.250 1
Ho1 Ho 0.000 0.500 0.000 1
Tm1 Tm 0.000 0.332 0.750 1
```

Output
Formation enthalpy at 0 K in eV per atom: 0.020
D(E_F) in states/eV per atom: 1.392

***

DFT (PBE-GGA) results for a relaxed Sm2Er2Se5 crystal.

Cell and atoms, written as CIF:
```
data_Sm2Er2Se5
_chemical_formula_sum 'Sm8 Er8 Se20'
_space_group_name_H-M_alt 'C m c e'
_space_group_IT_number 64
_space_group_name_Hall '-C 2ac 2'
_cell_length_a 14.745
_cell_length_b 7.708
_cell_length_c 7.679
_cell_angle_alpha 90.00
_cell_angle_beta 90.00
_cell_angle_gamma 90.00
loop_
_atom_site_label
_atom_site_type_symbol
_atom_site_fract_x
_atom_site_fract_y
_atom_site_fract_z
_atom_site_occupancy
Sm1 Sm 0.198 0.000 0.000 1
Er1 Er 0.000 0.151 0.344 1
Se1 Se 0.000 0.000 0.000 1
Se2 Se 0.136 0.159 0.655 1
```

Output
ΔE_f (raw) in eV per atom: -1.73
D(E_F) in states/eV per atom: 0.695

***

DFT (PBE-GGA) results for a relaxed SrBr2O5 crystal.

Cell and atoms, written as CIF:
```
data_SrBr2O5
_chemical_formula_sum 'Sr4 Br8 O20'
_space_group_name_H-M_alt 'P 1 21/c 1'
_space_group_IT_number 14
_space_group_name_Hall '-P 2ybc'
_cell_length_a 8.310
_cell_length_b 6.555
_cell_length_c 11.099
_cell_angle_alpha 90.00
_cell_angle_beta 90.65
_cell_angle_gamma 90.00
loop_
_atom_site_label
_atom_site_type_symbol
_atom_site_fract_x
_atom_site_fract_y
_atom_site_fract_z
_atom_site_occupancy
Sr1 Sr 0.245 0.073 0.022 1
Br1 Br 0.058 0.582 0.844 1
Br2 Br 0.485 0.240 0.266 1
O1 O 0.052 0.690 0.419 1
O2 O 0.143 0.646 0.713 1
O3 O 0.192 0.056 0.424 1
O4 O 0.311 0.187 0.688 1
O5 O 0.492 0.078 0.886 1
```

Output
ΔE_f (raw) in eV per atom: -0.68
D(E_F) in states/eV per atom: 0.000

***

In the order shown, the computed DFT total energy values come out to -4.5983, -5.7258, -4.4095 eV per atom.